CeLuPuPb after structural relaxation, computed with PBE.

Unit cell a=5.3499 b=5.3499 c=5.3499 alpha=60.00 beta=60.00 gamma=60.00
Site moments in Bohr magnetons follow the coordinates.
Atoms (fractional coordinates):
1 Lu 0.7500 0.7500 0.7500  0.29
2 Pu 0.2500 0.2500 0.2500  5.61
3 Pb 0.5000 0.5000 0.5000  -0.03
4 Ce 0.0000 0.0000 0.0000  1.11

Spin magnetization, Bohr magnetons per cell: 8.039
Formation energy from the elements, eV/atom: -0.02
E, eV per formula unit: -28.56
Space group: F-43m


CeLuRuPb after structural relaxation, computed with PBE.

Unit cell a=5.1355 b=5.1355 c=5.1355 alpha=60.00 beta=60.00 gamma=60.00
Site moments in Bohr magnetons follow the coordinates.
Atoms (fractional coordinates):
1 Ce 0.0000 0.0000 0.0000  -0.40
2 Lu 0.5000 0.5000 0.5000  -0.01
3 Ru 0.2500 0.2500 0.2500  0.03
4 Pb 0.7500 0.7500 0.7500  0.00

Spin magnetization, Bohr magnetons per cell: 0.435
Formation energy from the elements, eV/atom: -0.18
E, eV per formula unit: -24.18
Space group: F-43m


CeSmLuPb after structural relaxation, computed with PBE.

Unit cell a=5.4473 b=5.4473 c=5.4473 alpha=60.00 beta=60.00 gamma=60.00
Site moments in Bohr magnetons follow the coordinates.
Atoms (fractional coordinates):
1 Ce 0.7500 0.7500 0.7500  -0.51
2 Pb 0.2500 0.2500 0.2500  0.01
3 Lu 0.5000 0.5000 0.5000  -0.02
4 Sm 0.0000 0.0000 0.0000  -0.01

Spin magnetization, Bohr magnetons per cell: 0.606
Formation energy from the elements, eV/atom: -0.04
E, eV per formula unit: -19.03
Space group: F-43m


CeLuTlPb after structural relaxation, computed with PBE.

Unit cell a=5.4318 b=5.4318 c=5.4318 alpha=60.00 beta=60.00 gamma=60.00
Site moments in Bohr magnetons follow the coordinates.
Atoms (fractional coordinates):
1 Ce 0.7500 0.7500 0.7500  0.81
2 Lu 0.2500 0.2500 0.2500  0.04
3 Tl 0.0000 0.0000 0.0000  0.00
4 Pb 0.5000 0.5000 0.5000  0.00

Spin magnetization, Bohr magnetons per cell: 0.974
Formation energy from the elements, eV/atom: -0.29
E, eV per formula unit: -17.68
Space group: F-43m


CeTmLuPb after structural relaxation, computed with PBE.

Unit cell a=5.3785 b=5.3785 c=5.3785 alpha=60.00 beta=60.00 gamma=60.00
Site moments in Bohr magnetons follow the coordinates.
Atoms (fractional coordinates):
1 Ce 0.7500 0.7500 0.7500  0.70
2 Tm 0.5000 0.5000 0.5000  0.24
3 Pb 0.2500 0.2500 0.2500  -0.02
4 Lu 0.0000 0.0000 0.0000  0.20

Spin magnetization, Bohr magnetons per cell: 1.531
Formation energy from the elements, eV/atom: -0.01
E, eV per formula unit: -18.68
Space group: F-43m


CeLuZnPb after structural relaxation, computed with PBE.

Unit cell a=5.2660 b=5.2660 c=5.2660 alpha=60.00 beta=60.00 gamma=60.00
Site moments in Bohr magnetons follow the coordinates.
Atoms (fractional coordinates):
1 Pb 0.5000 0.5000 0.5000  -0.01
2 Lu 0.7500 0.7500 0.7500  -0.05
3 Ce 0.2500 0.2500 0.2500  -0.78
4 Zn 0.0000 0.0000 0.0000  -0.01

Spin magnetization, Bohr magnetons per cell: 1.002
Formation energy from the elements, eV/atom: -0.28
E, eV per formula unit: -16.56
Space group: F-43m


CeLuPd2 after structural relaxation, computed with PBE.

Unit cell a=4.0751 b=4.0751 c=7.0465 alpha=73.19 beta=73.19 gamma=60.00
Site moments in Bohr magnetons follow the coordinates.
Atoms (fractional coordinates):
1 Lu 0.0000 0.0000 0.0000  -0.01
2 Ce 0.5000 0.5000 0.5000  0.46
3 Pd 0.2533 0.2533 0.2402  -0.01
4 Pd 0.7467 0.7467 0.7598  -0.01

Spin magnetization, Bohr magnetons per cell: 0.468
Formation energy from the elements, eV/atom: -0.69
E, eV per formula unit: -23.59
Space group: R-3m


CeLuPd2 after structural relaxation, computed with PBE.

Unit cell a=3.4083 b=3.4083 c=7.3736 alpha=90.00 beta=90.00 gamma=90.00
Site moments in Bohr magnetons follow the coordinates.
Atoms (fractional coordinates):
1 Ce 0.5000 0.5000 0.5000  0.77
2 Pd 0.0000 0.0000 0.2249  -0.01
3 Pd 0.0000 0.0000 0.7751  -0.01
4 Lu 0.5000 0.5000 0.0000  0.02

Spin magnetization, Bohr magnetons per cell: 0.953
Formation energy from the elements, eV/atom: -0.79
E, eV per formula unit: -24.01
Space group: P4/mmm


Ce2LuPd after structural relaxation, computed with PBE.

Unit cell a=3.2030 b=3.2030 c=11.4865 alpha=81.99 beta=81.99 gamma=60.00
Atoms (fractional coordinates):
1 Ce 0.0781 0.0781 0.7657
2 Ce 0.9219 0.9219 0.2343
3 Lu 0.5000 0.5000 0.5000
4 Pd 0.0000 0.0000 0.0000

Spin magnetization, Bohr magnetons per cell: 0.006
Formation energy from the elements, eV/atom: 0.08
E, eV per formula unit: -21.26
Space group: R-3m


Ce2LuPd after structural relaxation, computed with PBE.

Unit cell a=3.7373 b=3.7373 c=7.5512 alpha=90.00 beta=90.00 gamma=90.00
Site moments in Bohr magnetons follow the coordinates.
Atoms (fractional coordinates):
1 Ce 0.0000 0.0000 0.7969  0.58
2 Ce 0.0000 0.0000 0.2031  0.58
3 Lu 0.5000 0.5000 0.5000  0.09
4 Pd 0.5000 0.5000 0.0000  -0.02

Spin magnetization, Bohr magnetons per cell: 1.485
Formation energy from the elements, eV/atom: -0.23
E, eV per formula unit: -22.52
Space group: P4/mmm


CeLuPd2 after structural relaxation, computed with PBE.

Unit cell a=4.9751 b=4.9751 c=4.9751 alpha=60.00 beta=60.00 gamma=60.00
Site moments in Bohr magnetons follow the coordinates.
Atoms (fractional coordinates):
1 Lu 0.0000 0.0000 0.0000  0.02
2 Pd 0.2500 0.2500 0.2500  -0.01
3 Pd 0.7500 0.7500 0.7500  -0.01
4 Ce 0.5000 0.5000 0.5000  0.59

Spin magnetization, Bohr magnetons per cell: 0.651
Formation energy from the elements, eV/atom: -0.76
E, eV per formula unit: -23.90
Space group: Fm-3m


CeLuPd4 after structural relaxation, computed with PBE.

Unit cell a=5.4489 b=5.4489 c=5.4489 alpha=60.00 beta=60.00 gamma=60.00
Site moments in Bohr magnetons follow the coordinates.
Atoms (fractional coordinates):
1 Pd 0.1263 0.6246 0.6246  -0.02
2 Pd 0.6246 0.6246 0.6246  -0.02
3 Pd 0.6246 0.1263 0.6246  -0.02
4 Pd 0.6246 0.6246 0.1263  -0.02
5 Ce 0.0000 0.0000 0.0000  0.77
6 Lu 0.2500 0.2500 0.2500  0.09

Spin magnetization, Bohr magnetons per cell: 0.968
Formation energy from the elements, eV/atom: -0.75
E, eV per formula unit: -35.75
Space group: F-43m


CeLu2Pd after structural relaxation, computed with PBE.

Unit cell a=3.4539 b=3.4539 c=8.4178 alpha=90.00 beta=90.00 gamma=90.00
Site moments in Bohr magnetons follow the coordinates.
Atoms (fractional coordinates):
1 Ce 0.5000 0.5000 0.5000  0.73
2 Lu 0.0000 0.0000 0.1978  0.06
3 Lu 0.0000 0.0000 0.8022  0.06
4 Pd 0.5000 0.5000 0.0000  0.01

Spin magnetization, Bohr magnetons per cell: 1.076
Formation energy from the elements, eV/atom: -0.42
E, eV per formula unit: -21.85
Space group: P4/mmm


CeLuPdPt after structural relaxation, computed with PBE.

Unit cell a=4.9645 b=4.9645 c=4.9645 alpha=60.00 beta=60.00 gamma=60.00
Site moments in Bohr magnetons follow the coordinates.
Atoms (fractional coordinates):
1 Ce 0.5000 0.5000 0.5000  0.55
2 Pt 0.7500 0.7500 0.7500  -0.01
3 Lu 0.0000 0.0000 0.0000  0.02
4 Pd 0.2500 0.2500 0.2500  -0.01

Spin magnetization, Bohr magnetons per cell: 0.610
Formation energy from the elements, eV/atom: -0.95
E, eV per formula unit: -25.49
Space group: F-43m


CeLuPdRu after structural relaxation, computed with PBE.

Unit cell a=4.8823 b=4.8823 c=4.8823 alpha=60.00 beta=60.00 gamma=60.00
Site moments in Bohr magnetons follow the coordinates.
Atoms (fractional coordinates):
1 Ru 0.7500 0.7500 0.7500  0.04
2 Pd 0.2500 0.2500 0.2500  0.01
3 Ce 0.0000 0.0000 0.0000  -0.42
4 Lu 0.5000 0.5000 0.5000  -0.01

Spin magnetization, Bohr magnetons per cell: 0.449
Formation energy from the elements, eV/atom: -0.59
E, eV per formula unit: -27.27
Space group: F-43m


CeLuTcPd after structural relaxation, computed with PBE.

Unit cell a=4.8774 b=4.8774 c=4.8774 alpha=60.00 beta=60.00 gamma=60.00
Atoms (fractional coordinates):
1 Pd 0.7500 0.7500 0.7500
2 Lu 0.5000 0.5000 0.5000
3 Ce 0.0000 0.0000 0.0000
4 Tc 0.2500 0.2500 0.2500

Spin magnetization, Bohr magnetons per cell: 0.000
Formation energy from the elements, eV/atom: -0.42
E, eV per formula unit: -27.68
Space group: F-43m